[1]
CaY2Ru: relaxed, PBE.

The structure in extended XYZ format:
```
4
Lattice="3.593 0.000 0.000 0.000 2.184 7.762 0.000 -2.184 7.762" Properties=species:S:1:pos:R:3 pbc="T T T"
Ca 0.000 0.000 0.000
Y 0.000 0.000 4.888
Y 1.797 0.000 10.404
Ru 1.797 0.000 13.016
```

ΔE_f = -0.2 eV/f.u.
Total magnetic moment = 0.00 μB/cell
Energy above the most stable polymorph in this dataset = 162 meV/atom
SG = No. 38

[2]
CaY2Ru: relaxed, PBE.

The structure in extended XYZ format:
```
4
Lattice="3.500 -3.510 0.000 3.500 3.510 0.000 0.000 0.000 4.078" Properties=species:S:1:pos:R:3 pbc="T T T"
Ca 0.000 0.000 0.000
Y 1.750 1.755 2.039
Y 1.750 -1.755 2.039
Ru 3.500 0.000 0.000
```

ΔE_f = 0.7 eV/f.u.
Total magnetic moment = 0.00 μB/cell
Energy above the most stable polymorph in this dataset = 375 meV/atom
SG = No. 65

[3]
CaY3Ru: relaxed, PBE.

The structure in extended XYZ format:
```
20
Lattice="6.716 0.000 0.000 0.000 8.751 0.000 0.000 0.000 10.320" Properties=species:S:1:pos:R:3 pbc="T T T"
Ca 0.000 0.000 0.000
Ca 0.000 4.375 0.000
Ca 3.358 0.000 5.160
Ca 3.358 4.375 5.160
Y 0.227 0.557 3.603
Y 0.227 3.818 3.603
Y 1.529 2.188 7.226
Y 1.829 6.563 2.066
Y 3.130 4.932 8.763
Y 3.130 8.194 8.763
Y 3.585 0.557 1.557
Y 3.585 3.818 1.557
Y 4.886 2.188 8.253
Y 5.187 6.563 3.094
Y 6.488 4.932 6.717
Y 6.488 8.194 6.717
Ru 0.889 6.563 4.639
Ru 2.468 2.188 9.799
Ru 4.247 6.563 0.521
Ru 5.826 2.188 5.680
```

ΔE_f = 0.0 eV/f.u.
Total magnetic moment = 0.00 μB/cell
Energy above the most stable polymorph in this dataset = 186 meV/atom
SG = No. 62

[4]
CaY2Ru: relaxed, PBE.

The structure in extended XYZ format:
```
4
Lattice="0.000 3.660 3.660 3.660 0.000 3.660 3.660 3.660 0.000" Properties=species:S:1:pos:R:3 pbc="T T T"
Ca 0.000 0.000 0.000
Y 1.830 1.830 1.830
Y 5.490 5.490 5.490
Ru 3.660 3.660 3.660
```

ΔE_f = 0.3 eV/f.u.
Total magnetic moment = 0.00 μB/cell
Energy above the most stable polymorph in this dataset = 270 meV/atom
SG = No. 225

[5]
CaY2Ru: relaxed, PBE.

The structure in extended XYZ format:
```
8
Lattice="-4.334 4.334 3.200 4.334 -4.334 3.200 4.334 4.334 -3.200" Properties=species:S:1:pos:R:3 pbc="T T T"
Ca 0.000 0.000 0.000
Ca 0.000 4.334 1.600
Y 2.167 -1.371 2.400
Y 2.963 2.167 0.800
Y 2.167 5.705 -0.800
Y 1.371 2.167 4.000
Ru 4.334 0.000 1.600
Ru 0.000 0.000 3.200
```

ΔE_f = 0.4 eV/f.u.
Total magnetic moment = 0.00 μB/cell
Energy above the most stable polymorph in this dataset = 319 meV/atom
SG = No. 122

[6]
CaY3Ru: relaxed, PBE.

The structure in extended XYZ format:
```
10
Lattice="3.874 0.000 0.000 -1.934 8.337 0.000 -1.927 -1.037 9.421" Properties=species:S:1:pos:R:3 pbc="T T T"
Ca 0.000 0.000 0.000
Ca -1.931 4.168 7.830
Y -0.001 1.257 6.129
Y 0.001 5.700 2.073
Y 1.937 3.020 0.566
Y 1.936 0.645 3.182
Y 0.001 6.603 5.743
Y 1.937 3.869 4.266
Ru -1.936 6.868 3.851
Ru 0.000 2.789 2.497
```

ΔE_f = -0.8 eV/f.u.
Total magnetic moment = 0.00 μB/cell
Energy above the most stable polymorph in this dataset = 19 meV/atom
SG = No. 1

[7]
CaY3Ru: relaxed, PBE.

The structure in extended XYZ format:
```
10
Lattice="3.824 -4.938 0.000 3.824 4.938 0.000 0.000 0.000 8.312" Properties=species:S:1:pos:R:3 pbc="T T T"
Ca 3.824 2.761 6.234
Ca 3.824 -2.761 2.078
Y 3.824 2.718 2.078
Y 2.067 0.000 0.000
Y 2.067 0.000 4.156
Y 5.582 0.000 0.000
Y 5.582 0.000 4.156
Y 3.824 -2.718 6.234
Ru 3.824 0.074 2.078
Ru 3.824 -0.074 6.234
```

ΔE_f = -0.5 eV/f.u.
Total magnetic moment = 0.00 μB/cell
Energy above the most stable polymorph in this dataset = 85 meV/atom
SG = No. 63

[8]
CaY3Ru: relaxed, PBE.

The structure in extended XYZ format:
```
5
Lattice="5.248 0.000 0.000 0.000 5.248 0.000 0.000 0.000 5.248" Properties=species:S:1:pos:R:3 pbc="T T T"
Ca 0.000 0.000 0.000
Y 0.000 0.000 2.624
Y 0.000 2.624 0.000
Y 2.624 0.000 0.000
Ru 2.624 2.624 2.624
```

ΔE_f = 8.2 eV/f.u.
Total magnetic moment = 0.00 μB/cell
Energy above the most stable polymorph in this dataset = 1821 meV/atom
SG = No. 221